1.
Here is crystalline ZrRe at its relaxed geometry from OQMD via LeMat-Bulk. Energies are from PBE-GGA.

abc: 9.390 6.488 4.670
angles: 90.00 90.00 90.00
Element x y z (fractional)
Re1 0.714 0.248 0.000
Re2 0.476 0.500 0.000
Re3 0.945 0.500 0.000
Re4 0.714 0.752 0.000
Re5 0.190 0.000 0.500
Re6 0.722 0.000 0.500
Re7 0.952 0.252 0.500
Re8 0.952 0.748 0.500
Zr1 0.479 0.000 0.000
Zr2 0.950 0.000 0.000
Zr3 0.206 0.250 0.000
Zr4 0.206 0.750 0.000
Zr5 0.461 0.250 0.500
Zr6 0.188 0.500 0.500
Zr7 0.717 0.500 0.500
Zr8 0.461 0.750 0.500

Output
ΔE_f (eV per atom): -0.049
SG: Pmmn (59)
Total magnetization (μB/cell): 0.0



2.
Here is crystalline Zr3Re at its relaxed geometry from OQMD via LeMat-Bulk. Energies are from PBE-GGA.

abc: 7.255 6.112 4.568
angles: 90.00 90.00 126.41
Element x y z (fractional)
Re1 0.042 0.585 0.000
Re2 0.791 0.082 0.500
Zr1 0.013 0.083 0.000
Zr2 0.570 0.083 0.000
Zr3 0.526 0.551 0.000
Zr4 0.308 0.116 0.500
Zr5 0.264 0.584 0.500
Zr6 0.820 0.584 0.500

Output
ΔE_f (eV per atom): -0.049
SG: Cmcm (63)
Total magnetization (μB/cell): 0.0



3.
Here is crystalline Zr3Re at its relaxed geometry from OQMD via LeMat-Bulk. Energies are from PBE-GGA.

abc: 6.145 6.145 5.021
angles: 90.00 90.00 120.01
Element x y z (fractional)
Re1 0.000 0.000 0.000
Re2 0.333 0.667 0.500
Zr1 0.493 0.507 0.000
Zr2 0.014 0.507 0.000
Zr3 0.493 0.986 0.000
Zr4 0.320 0.160 0.500
Zr5 0.840 0.160 0.500
Zr6 0.840 0.680 0.500

Output
ΔE_f (eV per atom): 0.151
SG: P6_3/mmc (194)
Total magnetization (μB/cell): 0.0



4.
Here is crystalline SmSb3S6 at its relaxed geometry from OQMD via LeMat-Bulk. Energies are from PBE-GGA.

abc: 11.570 3.882 11.880
angles: 90.00 102.84 90.00
Element x y z (fractional)
S1 0.879 0.750 0.060
S2 0.385 0.750 0.065
S3 0.784 0.250 0.283
S4 0.258 0.250 0.301
S5 0.036 0.750 0.392
S6 0.620 0.250 0.453
S7 0.380 0.750 0.547
S8 0.964 0.250 0.608
S9 0.742 0.750 0.699
S10 0.216 0.750 0.717
S11 0.615 0.250 0.935
S12 0.121 0.250 0.940
Sb1 0.664 0.750 0.079
Sb2 0.970 0.250 0.211
Sb3 0.406 0.750 0.345
Sb4 0.594 0.250 0.655
Sb5 0.030 0.750 0.789
Sb6 0.336 0.250 0.921
Sm1 0.814 0.750 0.470
Sm2 0.186 0.250 0.530

Output
SG: P2_1/m (11)
Energy (eV/atom): -4.899
Total magnetization (μB/cell): 0.0



5.
Here is crystalline Sm3Sb2S at its relaxed geometry from OQMD via LeMat-Bulk. Energies are from PBE-GGA.

abc: 4.323 4.323 10.586
angles: 90.00 90.00 120.00
Element x y z (fractional)
S1 0.000 0.000 0.500
Sb1 0.333 0.667 0.177
Sb2 0.667 0.333 0.823
Sm1 0.000 0.000 0.000
Sm2 0.667 0.333 0.353
Sm3 0.333 0.667 0.647

Output
SG: P-3m1 (164)
Energy (eV/atom): -5.848
Total magnetization (μB/cell): 0.0



6.
Here is crystalline TaSbS4 at its relaxed geometry from OQMD via LeMat-Bulk. Energies are from PBE-GGA.

abc: 10.666 10.666 6.393
angles: 90.00 90.00 161.32
Element x y z (fractional)
S1 0.575 0.425 0.201
S2 0.425 0.575 0.201
S3 0.926 0.074 0.631
S4 0.074 0.926 0.631
Sb1 0.000 0.000 0.996
Ta1 0.500 0.500 0.490

Output
SG: Cmm2 (35)
Energy (eV/atom): -5.896
Total magnetization (μB/cell): 0.0



7.
Here is crystalline TaSbS4 at its relaxed geometry from OQMD via LeMat-Bulk. Energies are from PBE-GGA.

abc: 3.474 7.344 7.344
angles: 128.59 90.00 90.00
Element x y z (fractional)
S1 0.000 0.485 0.250
S2 0.000 0.250 0.485
S3 0.500 0.920 0.679
S4 0.500 0.679 0.920
Sb1 0.000 0.006 0.006
Ta1 0.500 0.509 0.509

Output
SG: Amm2 (38)
Energy (eV/atom): -5.897
Total magnetization (μB/cell): 0.0



8.
Here is crystalline Tb3Sb2S at its relaxed geometry from OQMD via LeMat-Bulk. Energies are from PBE-GGA.

abc: 4.247 4.247 10.412
angles: 90.00 90.00 120.00
Element x y z (fractional)
S1 0.000 0.000 0.000
Sb1 0.333 0.667 0.322
Sb2 0.667 0.333 0.678
Tb1 0.667 0.333 0.146
Tb2 0.000 0.000 0.500
Tb3 0.333 0.667 0.854

Output
SG: P-3m1 (164)
Energy (eV/atom): -5.777
Total magnetization (μB/cell): 0.0



9.
Here is crystalline Tb3SbS2 at its relaxed geometry from OQMD via LeMat-Bulk. Energies are from PBE-GGA.

abc: 4.081 4.081 10.015
angles: 90.00 90.00 120.00
Element x y z (fractional)
S1 0.333 0.667 0.346
S2 0.667 0.333 0.654
Sb1 0.000 0.000 0.000
Tb1 0.667 0.333 0.193
Tb2 0.000 0.000 0.500
Tb3 0.333 0.667 0.807

Output
SG: P-3m1 (164)
Energy (eV/atom): -6.063
Total magnetization (μB/cell): 0.0



10.
Here is crystalline Th3SbS at its relaxed geometry from OQMD via LeMat-Bulk. Energies are from PBE-GGA.

abc: 5.303 5.303 5.303
angles: 90.00 90.00 90.00
Element x y z (fractional)
S1 0.500 0.500 0.500
Sb1 0.000 0.000 0.000
Th1 0.500 0.500 0.000
Th2 0.500 0.000 0.500
Th3 0.000 0.500 0.500

Output
SG: Pm-3m (221)
Energy (eV/atom): -6.805
Total magnetization (μB/cell): 0.0



11.
Here is crystalline Tm3Sb2S at its relaxed geometry from OQMD via LeMat-Bulk. Energies are from PBE-GGA.

abc: 4.182 4.182 10.207
angles: 90.00 90.00 120.00
Element x y z (fractional)
S1 0.000 0.000 0.000
Sb1 0.333 0.667 0.321
Sb2 0.667 0.333 0.679
Tm1 0.667 0.333 0.144
Tm2 0.000 0.000 0.500
Tm3 0.333 0.667 0.856

Output
SG: P-3m1 (164)
Energy (eV/atom): -5.613
Total magnetization (μB/cell): 0.0



12.
Here is crystalline USbS at its relaxed geometry from OQMD via LeMat-Bulk. Energies are from PBE-GGA.

abc: 4.275 4.275 7.754
angles: 90.00 90.00 90.00
Element x y z (fractional)
S1 0.000 0.000 0.000
S2 0.500 0.500 0.000
Sb1 0.500 0.000 0.372
Sb2 0.000 0.500 0.628
U1 0.000 0.500 0.212
U2 0.500 0.000 0.788

Output
SG: P4/nmm (129)
Energy (eV/atom): -7.233
Total magnetization (μB/cell): 2.9



What is the formula in the tenth record? Th3SbS



total magnetization of number 10 (Th3SbS)? 0.0 μB/cell



Look up the total magnetization of the twelfth one. 2.9 μB/cell